{"formula": "Tb8CuPt2", "functional": "GGA-PBE", "state": "optimized geometry", "final_energy_ev_per_atom": -5.232, "rho_kg_m3": 9322, "cell": [[5.8929, 0.1065, -0.9589], [-1.8947, 6.8346, -2.8873], [-0.0533, -0.1205, 7.6564]], "species": ["Tb", "Tb", "Tb", "Tb", "Tb", "Tb", "Tb", "Tb", "Pt", "Pt", "Cu"], "frac_coords": [[0.8036, 0.6420, 0.6420], [0.3718, 0.9245, 0.6648], [0.9876, 0.2211, 0.7779], [0.3718, 0.6648, 0.9245], [0.5855, 0.0818, 0.3400], [0.1732, 0.3677, 0.3677], [0.9876, 0.7779, 0.2211], [0.5855, 0.3400, 0.0818], [0.4875, 0.6920, 0.3162], [0.4875, 0.3162, 0.6920], [0.1581, 0.0059, 0.0059]]}


{"formula": "TbCuPt2", "functional": "GGA-PBE", "state": "optimized geometry", "final_energy_ev_per_atom": -5.395, "rho_kg_m3": 11007, "cell": [[8.6353, 0.0000, 0.0000], [0.0000, 5.5519, 0.0000], [0.0000, 0.0000, 7.7113]], "species": ["Pt", "Pt", "Pt", "Pt", "Pt", "Pt", "Pt", "Pt", "Cu", "Cu", "Cu", "Cu", "Tb", "Tb", "Tb", "Tb"], "frac_coords": [[0.0000, 0.0000, 0.0000], [0.7362, 0.2500, 0.0423], [0.5000, 0.5000, 0.5000], [0.7362, 0.7500, 0.9577], [0.2638, 0.7500, 0.9577], [0.0000, 0.5000, 0.0000], [0.5000, 0.0000, 0.5000], [0.2638, 0.2500, 0.0423], [0.0000, 0.2500, 0.2903], [0.5000, 0.7500, 0.7696], [0.0000, 0.7500, 0.7097], [0.5000, 0.2500, 0.2304], [0.0000, 0.2500, 0.6776], [0.0000, 0.7500, 0.3224], [0.5000, 0.7500, 0.1854], [0.5000, 0.2500, 0.8146]]}


{"formula": "TbCu6Pt6", "functional": "GGA-PBE", "state": "optimized geometry", "final_energy_ev_per_atom": -5.403, "rho_kg_m3": 14727, "cell": [[-4.1285, -0.4231, -2.7954], [-1.2178, -6.3551, -1.7180], [-5.4899, -0.7909, 3.7492]], "species": ["Pt", "Pt", "Pt", "Pt", "Pt", "Pt", "Cu", "Cu", "Cu", "Cu", "Cu", "Cu", "Tb"], "frac_coords": [[0.7006, 0.7994, 0.7994], [0.6578, 0.3422, 0.3422], [0.2994, 0.2006, 0.2006], [0.3422, 0.6578, 0.6578], [0.0000, 0.3461, 0.6539], [0.0000, 0.6539, 0.3461], [0.5000, 0.7691, 0.2309], [0.0000, 0.5000, 0.0000], [0.5000, 0.5000, 0.0000], [0.5000, 0.2309, 0.7691], [0.0000, 0.0000, 0.5000], [0.5000, 0.0000, 0.5000], [0.0000, 0.0000, 0.0000]]}